# 1
{
  "formula": "SrCr4",
  "functional": "PBE-GGA",
  "state": "relaxed",
  "dft_energy_ev_per_cell": -28.83,
  "relative_energy_mev_per_atom": 1626.4,
  "vol_a3_per_atom": 33.40,
  "space_group": "Im-3m",
  "formation_energy_ev_per_atom": 2.27,
  "cell": [[5.618, -1.473, -1.538], [0.070, 3.003, 5.204], [-3.284, -4.994, 0.614]],
  "species": ["Sr", "Cr", "Cr", "Cr", "Cr"],
  "frac_coords": [[0.000, 0.000, 0.000], [0.500, 0.000, 0.000], [0.500, 0.500, 0.500], [0.000, 0.500, 0.000], [0.000, 0.000, 0.500]]
}

# 2
{
  "formula": "AcEuH2",
  "functional": "PBE-GGA",
  "state": "relaxed",
  "dft_energy_ev_per_cell": -22.61,
  "vol_a3_per_atom": 22.22,
  "space_group": "R-3m",
  "cell": [[3.903, 0.000, 0.000], [1.952, 3.380, 0.000], [1.952, 1.127, 6.737]],
  "species": ["Eu", "H", "H", "Ac"],
  "frac_coords": [[0.500, 0.500, 0.500], [0.123, 0.123, 0.630], [0.877, 0.877, 0.370], [0.000, 0.000, 0.000]]
}

# 3
{
  "formula": "Fe2MoCl",
  "functional": "PBE-GGA",
  "state": "relaxed",
  "e_form_raw_kj_per_mol_atoms": 85.6,
  "dft_energy_ev_per_cell": -26.06,
  "relative_energy_mev_per_atom": 714.7,
  "vol_a3_per_atom": 14.04,
  "space_group": "I4/mmm",
  "cell": [[5.109, -0.007, 0.000], [2.645, 4.371, 0.000], [-3.877, -2.182, 2.512]],
  "species": ["Mo", "Fe", "Fe", "Cl"],
  "frac_coords": [[0.250, 0.750, 0.500], [0.000, 0.000, 0.000], [0.500, 0.500, 0.000], [0.750, 0.250, 0.500]]
}

# 4
{
  "formula": "LaPa2Fe",
  "functional": "PBE-GGA",
  "state": "relaxed",
  "dft_energy_ev_per_cell": -31.33,
  "vol_a3_per_atom": 23.46,
  "space_group": "R-3m",
  "formation_energy_ev_per_atom": 0.26,
  "cell": [[-4.136, 0.404, 0.112], [-2.333, -2.977, 1.726], [-1.726, 2.023, 6.164]],
  "species": ["Pa", "Pa", "Fe", "La"],
  "frac_coords": [[0.769, 0.769, 0.693], [0.231, 0.231, 0.307], [0.500, 0.500, 0.500], [0.000, 0.000, 0.000]]
}

# 5
{
  "formula": "HfGeO",
  "functional": "PBE-GGA",
  "state": "relaxed",
  "e_form_raw_kj_per_mol_atoms": -141.5,
  "dft_energy_ev_per_cell": -23.93,
  "vol_a3_per_atom": 17.17,
  "space_group": "P-6m2",
  "cell": [[-3.763, 3.005, 0.510], [-1.914, -2.039, -2.111], [0.008, -0.576, 3.457]],
  "species": ["Ge", "Hf", "O"],
  "frac_coords": [[0.667, 0.667, 0.333], [0.167, 0.000, 0.000], [0.167, 0.333, 0.667]]
}

# 6
{
  "formula": "CaScAsBr2",
  "functional": "PBE-GGA",
  "state": "relaxed",
  "e_form_raw_kj_per_mol_atoms": -45.7,
  "dft_energy_ev_per_cell": -18.70,
  "relative_energy_mev_per_atom": 626.7,
  "vol_a3_per_atom": 32.54,
  "space_group": "P4/mmm",
  "cell": [[-3.707, -1.631, 3.301], [-2.990, -1.401, -4.049], [2.451, -5.432, 0.069]],
  "species": ["Sc", "As", "Ca", "Br", "Br"],
  "frac_coords": [[0.500, 0.500, 0.500], [0.000, 0.000, 0.500], [0.000, 0.000, 0.000], [0.000, 0.500, 0.000], [0.500, 0.000, 0.000]]
}

# 7
{
  "formula": "RbY2HgSe4",
  "functional": "PBE-GGA",
  "state": "relaxed",
  "e_form_raw_kj_per_mol_atoms": -124.1,
  "dft_energy_ev_per_cell": -76.85,
  "vol_a3_per_atom": 29.72,
  "space_group": "Cmcm",
  "cell": [[4.254, 0.000, 0.000], [-2.127, 7.215, 0.000], [0.000, 0.000, 15.493]],
  "species": ["Rb", "Rb", "Y", "Y", "Y", "Y", "Hg", "Hg", "Se", "Se", "Se", "Se", "Se", "Se", "Se", "Se"],
  "frac_coords": [[0.127, 0.253, 0.750], [0.873, 0.747, 0.250], [0.376, 0.751, 0.562], [0.624, 0.249, 0.062], [0.624, 0.249, 0.438], [0.376, 0.751, 0.938], [0.829, 0.658, 0.750], [0.171, 0.342, 0.250], [0.258, 0.517, 0.093], [0.742, 0.483, 0.593], [0.742, 0.483, 0.907], [0.258, 0.517, 0.407], [0.000, 0.000, 0.500], [0.000, 0.000, 0.000], [0.448, 0.897, 0.750], [0.552, 0.103, 0.250]]
}

# 8
{
  "formula": "LiCdRu2",
  "functional": "PBE-GGA",
  "state": "relaxed",
  "dft_energy_ev_per_cell": -20.28,
  "vol_a3_per_atom": 15.18,
  "space_group": "Pmmm",
  "formation_energy_ev_per_atom": 0.27,
  "cell": [[2.878, 0.000, 0.000], [0.000, 4.481, 0.000], [0.000, 0.000, 4.708]],
  "species": ["Cd", "Li", "Ru", "Ru"],
  "frac_coords": [[0.500, 0.000, 0.500], [0.000, 0.500, 0.500], [0.000, 0.000, 0.000], [0.500, 0.500, 0.000]]
}

# 9
{
  "formula": "La7YHo2",
  "functional": "PBE-GGA",
  "state": "relaxed",
  "dft_energy_ev_per_cell": -46.81,
  "relative_energy_mev_per_atom": 0.0,
  "vol_a3_per_atom": 37.05,
  "space_group": "Cmmm",
  "formation_energy_ev_per_atom": 0.33,
  "cell": [[3.546, 0.000, 0.000], [0.000, 10.137, -2.773], [0.000, -0.671, 10.488]],
  "species": ["La", "La", "La", "La", "La", "La", "La", "Y", "Ho", "Ho"],
  "frac_coords": [[0.000, 0.680, 0.320], [0.000, 0.320, 0.680], [0.500, 0.125, 0.384], [0.500, 0.875, 0.616], [0.500, 0.384, 0.125], [0.500, 0.616, 0.875], [0.500, 0.500, 0.500], [0.000, 0.000, 0.000], [0.500, 0.835, 0.165], [0.500, 0.165, 0.835]]
}

# 10
{
  "formula": "Ac8TbSm2",
  "functional": "PBE-GGA",
  "state": "relaxed",
  "dft_energy_ev_per_cell": -46.48,
  "vol_a3_per_atom": 41.64,
  "space_group": "C2/m",
  "formation_energy_ev_per_atom": 0.04,
  "cell": [[-3.179, 0.368, 4.535], [5.230, -5.590, 4.118], [5.300, 8.746, -0.397]],
  "species": ["Ac", "Ac", "Ac", "Ac", "Ac", "Ac", "Ac", "Ac", "Tb", "Sm", "Sm"],
  "frac_coords": [[0.681, 0.915, 0.363], [0.406, 0.548, 0.813], [0.138, 0.189, 0.276], [0.953, 0.270, 0.906], [0.862, 0.811, 0.724], [0.594, 0.452, 0.187], [0.319, 0.085, 0.637], [0.047, 0.730, 0.094], [0.500, 0.000, 0.000], [0.226, 0.633, 0.453], [0.774, 0.367, 0.547]]
}

# 11
{
  "formula": "CrNiOs2",
  "functional": "PBE-GGA",
  "state": "relaxed",
  "dft_energy_ev_per_cell": -36.85,
  "relative_energy_mev_per_atom": 180.8,
  "vol_a3_per_atom": 12.91,
  "space_group": "P4mm",
  "formation_energy_ev_per_atom": 0.25,
  "cell": [[-2.605, -0.064, 1.445], [-0.563, -2.697, -1.136], [2.600, -2.471, 4.579]],
  "species": ["Cr", "Ni", "Os", "Os"],
  "frac_coords": [[0.000, 0.000, 0.535], [0.500, 0.500, 0.718], [0.000, 0.000, 0.973], [0.500, 0.500, 0.273]]
}

# 12
{
  "formula": "HgRuS2",
  "functional": "PBE-GGA",
  "state": "relaxed",
  "e_form_raw_kj_per_mol_atoms": -18.4,
  "dft_energy_ev_per_cell": -18.59,
  "vol_a3_per_atom": 20.92,
  "space_group": "R-3m",
  "cell": [[2.101, 0.000, 7.294], [-1.051, 1.820, 7.294], [-1.051, -1.820, 7.294]],
  "species": ["Ru", "S", "S", "Hg"],
  "frac_coords": [[0.500, 0.500, 0.500], [0.885, 0.885, 0.885], [0.115, 0.115, 0.115], [0.000, 0.000, 0.000]]
}

# 13
{
  "formula": "CsGa2Pb2",
  "functional": "PBE-GGA",
  "state": "relaxed",
  "dft_energy_ev_per_cell": -28.54,
  "relative_energy_mev_per_atom": 98.0,
  "vol_a3_per_atom": 31.47,
  "space_group": "P4/mbm",
  "formation_energy_ev_per_atom": 0.01,
  "cell": [[9.505, 0.000, 0.000], [0.000, 9.505, 0.000], [0.000, 0.000, 3.484]],
  "species": ["Pb", "Pb", "Pb", "Pb", "Cs", "Cs", "Ga", "Ga", "Ga", "Ga"],
  "frac_coords": [[0.135, 0.635, 0.500], [0.635, 0.865, 0.500], [0.865, 0.365, 0.500], [0.365, 0.135, 0.500], [0.000, 0.000, 0.000], [0.500, 0.500, 0.000], [0.360, 0.860, 0.000], [0.860, 0.640, 0.000], [0.640, 0.140, 0.000], [0.140, 0.360, 0.000]]
}

# 14
{
  "formula": "TbHoMo",
  "functional": "PBE-GGA",
  "state": "relaxed",
  "dft_energy_ev_per_cell": -38.61,
  "vol_a3_per_atom": 27.22,
  "space_group": "C2/m",
  "formation_energy_ev_per_atom": 0.24,
  "cell": [[4.320, 0.000, 0.000], [0.000, 5.891, 0.220], [-2.160, -1.023, 6.379]],
  "species": ["Mo", "Mo", "Tb", "Tb", "Ho", "Ho"],
  "frac_coords": [[0.743, 0.107, 0.486], [0.257, 0.893, 0.514], [0.571, 0.773, 0.142], [0.429, 0.227, 0.858], [0.846, 0.639, 0.692], [0.154, 0.361, 0.308]]
}

# 15
{
  "formula": "BaPuH4",
  "functional": "PBE-GGA",
  "state": "relaxed",
  "dft_energy_ev_per_cell": -31.81,
  "vol_a3_per_atom": 15.77,
  "space_group": "P4/mmm",
  "cell": [[3.962, 0.000, -0.002], [0.000, 3.962, -0.002], [0.002, 0.004, 6.028]],
  "species": ["Ba", "Pu", "H", "H", "H", "H"],
  "frac_coords": [[0.501, 0.497, 0.998], [0.001, 0.997, 0.498], [0.501, 0.997, 0.292], [0.501, 0.997, 0.705], [0.001, 0.497, 0.705], [0.001, 0.497, 0.292]]
}

# 16
{
  "formula": "ErHfPa",
  "functional": "PBE-GGA",
  "state": "relaxed",
  "dft_energy_ev_per_cell": -23.51,
  "relative_energy_mev_per_atom": 0.0,
  "vol_a3_per_atom": 25.71,
  "space_group": "I4mm",
  "formation_energy_ev_per_atom": 0.17,
  "cell": [[3.213, 0.000, 0.000], [0.000, 3.213, 0.000], [-1.607, -1.607, 7.472]],
  "species": ["Pa", "Hf", "Er"],
  "frac_coords": [[0.326, 0.326, 0.652], [0.671, 0.671, 0.342], [0.003, 0.003, 0.006]]
}

# 17
{
  "formula": "LaNdSI",
  "functional": "PBE-GGA",
  "state": "relaxed",
  "e_form_raw_kj_per_mol_atoms": -146.6,
  "dft_energy_ev_per_cell": -21.45,
  "vol_a3_per_atom": 29.17,
  "space_group": "R3m",
  "cell": [[-3.713, -0.714, 1.597], [0.942, -1.439, -3.726], [4.883, -5.805, 3.476]],
  "species": ["La", "Nd", "S", "I"],
  "frac_coords": [[0.506, 0.151, 0.673], [0.101, 0.948, 0.065], [0.307, 0.551, 0.873], [0.964, 0.380, 0.359]]
}

# 18
{
  "formula": "MnNi2Cl",
  "functional": "PBE-GGA",
  "state": "relaxed",
  "e_form_raw_kj_per_mol_atoms": 38.4,
  "dft_energy_ev_per_cell": -20.99,
  "relative_energy_mev_per_atom": 323.1,
  "vol_a3_per_atom": 13.26,
  "space_group": "Pmmm",
  "cell": [[-1.948, 1.244, -1.676], [-2.612, 0.534, 3.432], [1.779, 3.812, 0.761]],
  "species": ["Cl", "Mn", "Ni", "Ni"],
  "frac_coords": [[0.500, 0.000, 0.500], [0.000, 0.500, 0.500], [0.000, 0.000, 0.000], [0.500, 0.500, 0.000]]
}

# 19
{
  "formula": "Dy3Tm2Pb2",
  "functional": "PBE-GGA",
  "state": "relaxed",
  "dft_energy_ev_per_cell": -32.17,
  "vol_a3_per_atom": 29.89,
  "space_group": "C2/m",
  "formation_energy_ev_per_atom": -0.29,
  "cell": [[-2.579, 2.635, -2.678], [3.877, -3.501, -3.301], [-6.652, -4.814, 1.670]],
  "species": ["Dy", "Dy", "Dy", "Tm", "Tm", "Pb", "Pb"],
  "frac_coords": [[0.500, 0.000, 0.000], [0.631, 0.262, 0.436], [0.369, 0.738, 0.564], [0.881, 0.761, 0.242], [0.119, 0.239, 0.758], [0.819, 0.638, 0.819], [0.181, 0.362, 0.181]]
}

# 20
{
  "formula": "SnSb",
  "functional": "PBE-GGA",
  "state": "relaxed",
  "e_form_raw_kj_per_mol_atoms": 4.1,
  "dft_energy_ev_per_cell": -16.08,
  "vol_a3_per_atom": 35.80,
  "space_group": "P6_3/mmc",
  "cell": [[5.199, 0.000, 0.000], [-2.600, 4.502, 0.000], [0.000, 0.000, 6.117]],
  "species": ["Sn", "Sn", "Sb", "Sb"],
  "frac_coords": [[0.333, 0.667, 0.750], [0.667, 0.333, 0.250], [0.333, 0.667, 0.250], [0.667, 0.333, 0.750]]
}

Number 1: total moment 19.5 μB per formula unit. Number 2: total moment 7.2 μB per formula unit. Number 3: total moment 4.5 μB per formula unit. Number 4: total moment 0.0 μB per formula unit. Number 5: total moment 0.0 μB per formula unit. Number 6: total moment 0.0 μB per formula unit. Number 7: total moment 0.0 μB per formula unit. Number 8: total moment 0.8 μB per formula unit. Number 9: total moment 0.0 μB per formula unit. Number 10: total moment 0.0 μB per formula unit. Number 11: total moment 0.8 μB per formula unit. Number 12: total moment 0.0 μB per formula unit. Number 13: total moment 0.0 μB per formula unit. Number 14: total moment 0.0 μB per formula unit. Number 15: total moment 5.8 μB per formula unit. Number 16: total moment 0.0 μB per formula unit. Number 17: total moment 0.4 μB per formula unit. Number 18: total moment 4.8 μB per formula unit. Number 19: total moment 0.0 μB per formula unit. Number 20: total moment 0.0 μB per formula unit.